# 1
Compound: GaS2NO8
Source: Alexandria via LeMat-Bulk
Functional: PBE
Structure: relaxed

Structure (POSCAR):
```
GaS2NO8
1.0
4.918 0.000 0.000
-2.459 4.259 0.000
0.000 0.000 8.565
Ga S N O
1 2 1 8
Cartesian
0.000 0.000 0.000 Ga
0.000 2.839 1.748 S
2.459 1.420 6.817 S
0.000 0.000 4.283 N
-0.413 1.497 1.236 O
-0.956 3.868 1.236 O
0.000 2.839 3.201 O
1.503 0.391 7.329 O
1.369 3.152 1.236 O
2.459 1.420 5.364 O
2.045 2.762 7.329 O
3.828 1.106 7.329 O
```

Calculated values
- formation energy without anion corrections (meV/atom) = -670
- Fermi-level density of states (states/eV/f.u.) = 6.58
- total energy (eV per atom) = -5.61
- ρ (g/cm³) = 2.6

# 2
Compound: V7Mo2Ru2
Source: Alexandria via LeMat-Bulk
Functional: PBE
Structure: relaxed

Structure (POSCAR):
```
V7Mo2Ru2
1.0
4.544 0.000 0.000
-1.522 5.928 0.000
-1.591 -0.799 5.892
V Mo Ru
7 2 2
Cartesian
0.000 0.000 0.000 V
-1.305 5.191 2.361 V
-1.341 1.644 5.474 V
-0.829 4.096 4.699 V
2.261 1.033 1.193 V
2.773 3.485 0.418 V
2.737 -0.061 3.531 V
-0.392 2.112 2.429 Mo
1.823 3.018 3.464 Mo
0.696 0.736 4.552 Ru
0.736 4.394 1.340 Ru
```

Calculated values
- formation energy (eV/atom) = 0.081
- Fermi-level density of states (states/eV/f.u.) = 12.56
- total energy (eV per atom) = -9.38
- ρ (g/cm³) = 7.9